Material: Sr3MnTc2O9
Method: DFT, PBE with a Hubbard U
State: optimized geometry

- Final energy: -109.67 eV per cell
- Calculated density: 5.61 g/cm³

Structure (POSCAR):
```
Sr3MnTc2O9
1.0
5.680 0.000 0.000
-2.840 4.919 0.000
0.000 0.000 6.963
Sr Mn Tc O
3 1 2 9
Cartesian
0.000 3.279 4.505
0.000 0.000 0.000
2.840 1.640 2.458
0.000 0.000 3.481
0.000 3.279 1.101
2.840 1.640 5.862
4.202 0.854 4.726
2.840 3.212 4.726
1.479 0.854 4.726
1.362 4.066 2.237
0.000 1.707 2.237
-1.362 4.066 2.237
2.840 0.000 0.000
-1.420 2.460 0.000
1.420 2.460 0.000
```